[1]
The following is a PBE-GGA calculation of Al3CuIr after structural relaxation, from Alexandria.

Cell: 4.7111 4.7111 4.7111 Å, 90.00 90.00 90.00°
Closest atoms and distances in Å follow each position.
Positions (direct):
Al (0.0000, 0.0000, 0.5000)  2 Ir 2.36
Al (0.0000, 0.5000, 0.0000)  2 Ir 2.36
Al (0.5000, 0.0000, 0.0000)  2 Ir 2.36
Cu (0.5000, 0.5000, 0.5000)  12 Al 3.33
Ir (0.0000, 0.0000, 0.0000)  6 Al 2.36

Properties
- DOS at the Fermi energy (states/eV per atom) = 0.282
- M_tot (μB/atom) = 0.00
- polymorph energy (0 for the lowest one) (meV per atom) = 540.3



[2]
The following is a PBE-GGA calculation of AlCuIr3 after structural relaxation, from Alexandria.

Cell: 4.4418 4.4418 4.4418 Å, 90.00 90.00 90.00°
Closest atoms and distances in Å follow each position.
Positions (direct):
Al (0.0000, 0.0000, 0.0000)  6 Ir 2.22
Cu (0.5000, 0.5000, 0.5000)  12 Ir 3.14
Ir (0.0000, 0.0000, 0.5000)  2 Al 2.22
Ir (0.0000, 0.5000, 0.0000)  2 Al 2.22
Ir (0.5000, 0.0000, 0.0000)  2 Al 2.22

Properties
- DOS at the Fermi energy (states/eV per atom) = 1.362
- M_tot (μB/atom) = 0.00
- polymorph energy (0 for the lowest one) (meV per atom) = 0.0



[3]
The following is a PBE-GGA calculation of AlCu2Ir after structural relaxation, from Alexandria.

Cell: 3.0440 3.0565 5.6116 Å, 90.00 90.00 90.00°
Closest atoms and distances in Å follow each position.
Positions (direct):
Al (0.0000, 0.0000, 0.0000)  4 Ir 2.54, 5 Cu 2.61-2.70
Cu (0.0000, 0.0000, 0.4806)  4 Cu 2.49, 4 Ir 2.68, 1 Al 2.70
Cu (0.5000, 0.5000, 0.2606)  4 Cu 2.49, 4 Al 2.61
Ir (0.5000, 0.5000, 0.7626)  4 Al 2.54, 6 Cu 2.68-2.82

Properties
- DOS at the Fermi energy (states/eV per atom) = 0.296
- calculated total energy (eV per cell) = -22.0
- M_tot (μB/atom) = 0.00



[4]
The following is a PBE-GGA calculation of Al2CuIr after structural relaxation, from Alexandria.

Cell: 4.4265 4.4265 4.7488 Å, 101.25 101.25 38.26°
Closest atoms and distances in Å follow each position.
Positions (direct):
Al (0.2459, 0.2459, 0.2420)  3 Ir 2.58-2.62, 3 Cu 2.60-2.65, 4 Al 2.73-2.84
Al (0.7541, 0.7541, 0.7580)  3 Ir 2.58-2.62, 3 Cu 2.60-2.65, 4 Al 2.73-2.84
Cu (0.0000, 0.0000, 0.5000)  6 Al 2.60-2.65, 4 Ir 2.78, 2 Cu 2.90
Ir (0.5000, 0.5000, 0.0000)  6 Al 2.58-2.62, 4 Cu 2.78

Properties
- DOS at the Fermi energy (states/eV per atom) = 0.333
- calculated total energy (eV per cell) = -22.1
- M_tot (μB/atom) = 0.00



Repeat the fourth record exactly.
The following is a PBE-GGA calculation of Al2CuIr after structural relaxation, from Alexandria.

Cell: 4.4265 4.4265 4.7488 Å, 101.25 101.25 38.26°
Closest atoms and distances in Å follow each position.
Positions (direct):
Al (0.2459, 0.2459, 0.2420)  3 Ir 2.58-2.62, 3 Cu 2.60-2.65, 4 Al 2.73-2.84
Al (0.7541, 0.7541, 0.7580)  3 Ir 2.58-2.62, 3 Cu 2.60-2.65, 4 Al 2.73-2.84
Cu (0.0000, 0.0000, 0.5000)  6 Al 2.60-2.65, 4 Ir 2.78, 2 Cu 2.90
Ir (0.5000, 0.5000, 0.0000)  6 Al 2.58-2.62, 4 Cu 2.78

Properties
- DOS at the Fermi energy (states/eV per atom) = 0.333
- calculated total energy (eV per cell) = -22.1
- M_tot (μB/atom) = 0.00